1.
LiZrCoSb after structural relaxation, computed with GGA-PBE.

a = 6.309 Å, b = 6.309 Å, c = 6.309 Å
α = 90.00°, β = 90.00°, γ = 90.00°
Space group F-43m (No. 216)
Asymmetric unit:
Li 0.000 0.000 0.000
Zr 0.250 0.250 0.750
Co 0.000 0.000 0.500
Sb 0.250 0.250 0.250

Computed properties:
- DFT total energy: -5.770 eV per atom
- Calculated density: 7.377 g/cm³
- Distance to the lowest polymorph of the same formula: 0 meV/atom

---

2.
LiZrCoSb after structural relaxation, computed with GGA-PBE.

a = 6.457 Å, b = 6.457 Å, c = 6.457 Å
α = 90.00°, β = 90.00°, γ = 90.00°
Space group F-43m (No. 216)
Asymmetric unit:
Li 0.000 0.000 0.000
Zr 0.250 0.250 0.250
Co 0.250 0.250 0.750
Sb 0.000 0.000 0.500

Computed properties:
- DFT total energy: -5.439 eV per atom
- Calculated density: 6.879 g/cm³
- Distance to the lowest polymorph of the same formula: 331 meV/atom

---

3.
Li2ScCo after structural relaxation, computed with GGA-PBE.

a = 6.185 Å, b = 6.185 Å, c = 6.185 Å
α = 90.00°, β = 90.00°, γ = 90.00°
Space group F-43m (No. 216)
Asymmetric unit:
Li 0.000 0.000 0.000
Li 0.250 0.250 0.250
Sc 0.250 0.250 0.750
Co 0.000 0.000 0.500

Computed properties:
- DFT total energy: -4.194 eV per atom
- Calculated density: 3.306 g/cm³

---

4.
LiScCo2 after structural relaxation, computed with GGA-PBE.

a = 5.903 Å, b = 5.903 Å, c = 5.903 Å
α = 90.00°, β = 90.00°, γ = 90.00°
Space group F-43m (No. 216)
Asymmetric unit:
Li 0.000 0.000 0.000
Sc 0.250 0.250 0.750
Co 0.000 0.000 0.500
Co 0.250 0.250 0.250

Computed properties:
- DFT total energy: -5.575 eV per atom
- Calculated density: 5.481 g/cm³

---

5.
LiScCoSe3 after structural relaxation, computed with GGA-PBE.

a = 3.720 Å, b = 12.871 Å, c = 10.086 Å
α = 90.00°, β = 90.00°, γ = 90.00°
Space group Cmcm (No. 63)
Asymmetric unit:
Li 0.000 0.216 0.250
Sc 0.000 0.000 0.000
Co 0.000 0.482 0.750
Se 0.000 0.093 0.750
Se 0.000 0.361 0.574

Computed properties:
- DFT total energy: -5.302 eV per atom
- Calculated density: 4.783 g/cm³

---

6.
LiScCoSe3 after structural relaxation, computed with GGA-PBE.

a = 10.103 Å, b = 3.734 Å, c = 12.721 Å
α = 90.00°, β = 90.00°, γ = 90.00°
Space group Pnma (No. 62)
Asymmetric unit:
Li 0.250 0.250 0.034
Sc 0.000 0.250 0.249
Co 0.250 0.250 0.732
Se 0.074 0.250 0.610
Se 0.074 0.750 0.109
Se 0.249 0.250 0.343

Computed properties:
- DFT total energy: -5.301 eV per atom
- Calculated density: 4.812 g/cm³

---

7.
LiScCoSi after structural relaxation, computed with GGA-PBE.

a = 6.096 Å, b = 6.096 Å, c = 6.096 Å
α = 90.00°, β = 90.00°, γ = 90.00°
Space group F-43m (No. 216)
Asymmetric unit:
Li 0.000 0.000 0.000
Sc 0.000 0.000 0.500
Co 0.250 0.250 0.750
Si 0.250 0.250 0.250

Computed properties:
- DFT total energy: -5.383 eV per atom
- Calculated density: 4.074 g/cm³
- Distance to the lowest polymorph of the same formula: 295 meV/atom

---

8.
LiScCoSi after structural relaxation, computed with GGA-PBE.

a = 5.932 Å, b = 5.932 Å, c = 5.932 Å
α = 90.00°, β = 90.00°, γ = 90.00°
Space group F-43m (No. 216)
Asymmetric unit:
Li 0.000 0.000 0.000
Sc 0.250 0.250 0.250
Co 0.000 0.000 0.500
Si 0.250 0.250 0.750

Computed properties:
- DFT total energy: -5.677 eV per atom
- Calculated density: 4.421 g/cm³
- Distance to the lowest polymorph of the same formula: 0 meV/atom

---

9.
LiScCoSi after structural relaxation, computed with GGA-PBE.

a = 5.982 Å, b = 5.982 Å, c = 5.982 Å
α = 90.00°, β = 90.00°, γ = 90.00°
Space group F-43m (No. 216)
Asymmetric unit:
Li 0.000 0.000 0.000
Sc 0.250 0.250 0.750
Co 0.250 0.250 0.250
Si 0.000 0.000 0.500

Computed properties:
- DFT total energy: -5.544 eV per atom
- Calculated density: 4.310 g/cm³
- Distance to the lowest polymorph of the same formula: 133 meV/atom

---

10.
LiScCoSn after structural relaxation, computed with GGA-PBE.

a = 6.513 Å, b = 6.513 Å, c = 6.513 Å
α = 90.00°, β = 90.00°, γ = 90.00°
Space group F-43m (No. 216)
Asymmetric unit:
Li 0.000 0.000 0.000
Sc 0.000 0.000 0.500
Co 0.250 0.250 0.750
Sn 0.250 0.250 0.250

Computed properties:
- DFT total energy: -5.013 eV per atom
- Calculated density: 5.518 g/cm³
- Distance to the lowest polymorph of the same formula: 262 meV/atom

---

11.
LiScCoSn after structural relaxation, computed with GGA-PBE.

a = 6.306 Å, b = 6.306 Å, c = 6.306 Å
α = 90.00°, β = 90.00°, γ = 90.00°
Space group F-43m (No. 216)
Asymmetric unit:
Li 0.000 0.000 0.000
Sc 0.250 0.250 0.750
Co 0.000 0.000 0.500
Sn 0.250 0.250 0.250

Computed properties:
- DFT total energy: -5.275 eV per atom
- Calculated density: 6.080 g/cm³
- Distance to the lowest polymorph of the same formula: 0 meV/atom

---

12.
LiScCoSn after structural relaxation, computed with GGA-PBE.

a = 6.389 Å, b = 6.389 Å, c = 6.389 Å
α = 90.00°, β = 90.00°, γ = 90.00°
Space group F-43m (No. 216)
Asymmetric unit:
Li 0.000 0.000 0.000
Sc 0.250 0.250 0.250
Co 0.250 0.250 0.750
Sn 0.000 0.000 0.500

Computed properties:
- DFT total energy: -5.037 eV per atom
- Calculated density: 5.846 g/cm³
- Distance to the lowest polymorph of the same formula: 239 meV/atom

---

13.
LiScTaCo after structural relaxation, computed with GGA-PBE.

a = 6.218 Å, b = 6.218 Å, c = 6.218 Å
α = 90.00°, β = 90.00°, γ = 90.00°
Space group F-43m (No. 216)
Asymmetric unit:
Li 0.000 0.000 0.000
Sc 0.250 0.250 0.750
Ta 0.000 0.000 0.500
Co 0.250 0.250 0.250

Computed properties:
- DFT total energy: -6.570 eV per atom
- Calculated density: 8.061 g/cm³
- Distance to the lowest polymorph of the same formula: 166 meV/atom

---

14.
LiScTaCo after structural relaxation, computed with GGA-PBE.

a = 6.238 Å, b = 6.238 Å, c = 6.238 Å
α = 90.00°, β = 90.00°, γ = 90.00°
Space group F-43m (No. 216)
Asymmetric unit:
Li 0.000 0.000 0.000
Sc 0.250 0.250 0.750
Ta 0.250 0.250 0.250
Co 0.000 0.000 0.500

Computed properties:
- DFT total energy: -6.735 eV per atom
- Calculated density: 7.985 g/cm³
- Distance to the lowest polymorph of the same formula: 0 meV/atom

---

15.
LiScZnCo after structural relaxation, computed with GGA-PBE.

a = 6.197 Å, b = 6.197 Å, c = 6.197 Å
α = 90.00°, β = 90.00°, γ = 90.00°
Space group F-43m (No. 216)
Asymmetric unit:
Li 0.000 0.000 0.000
Sc 0.000 0.000 0.500
Zn 0.250 0.250 0.250
Co 0.250 0.250 0.750

Computed properties:
- DFT total energy: -4.185 eV per atom
- Calculated density: 4.920 g/cm³
- Distance to the lowest polymorph of the same formula: 113 meV/atom

---

16.
LiScZnCo after structural relaxation, computed with GGA-PBE.

a = 6.112 Å, b = 6.112 Å, c = 6.112 Å
α = 90.00°, β = 90.00°, γ = 90.00°
Space group F-43m (No. 216)
Asymmetric unit:
Li 0.000 0.000 0.000
Sc 0.250 0.250 0.250
Zn 0.250 0.250 0.750
Co 0.000 0.000 0.500

Computed properties:
- DFT total energy: -4.298 eV per atom
- Calculated density: 5.127 g/cm³
- Distance to the lowest polymorph of the same formula: 0 meV/atom

---

17.
LiScZnCo after structural relaxation, computed with GGA-PBE.

a = 6.129 Å, b = 6.129 Å, c = 6.129 Å
α = 90.00°, β = 90.00°, γ = 90.00°
Space group F-43m (No. 216)
Asymmetric unit:
Li 0.000 0.000 0.000
Sc 0.250 0.250 0.250
Zn 0.000 0.000 0.500
Co 0.250 0.250 0.750

Computed properties:
- DFT total energy: -4.123 eV per atom
- Calculated density: 5.085 g/cm³
- Distance to the lowest polymorph of the same formula: 175 meV/atom

---

18.
LiSmCoSe3 after structural relaxation, computed with GGA-PBE.

a = 3.955 Å, b = 12.722 Å, c = 11.000 Å
α = 90.00°, β = 90.00°, γ = 90.00°
Space group Cmcm (No. 63)
Asymmetric unit:
Li 0.000 0.218 0.250
Sm 0.000 0.000 0.000
Co 0.000 0.477 0.750
Se 0.000 0.087 0.750
Se 0.000 0.352 0.587

Computed properties:
- DFT total energy: -5.068 eV per atom
- Calculated density: 5.438 g/cm³

---

19.
LiTmCoSe3 after structural relaxation, computed with GGA-PBE.

a = 10.569 Å, b = 3.857 Å, c = 12.726 Å
α = 90.00°, β = 90.00°, γ = 90.00°
Space group Pnma (No. 62)
Asymmetric unit:
Li 0.235 0.250 0.034
Tm 0.004 0.750 0.744
Co 0.246 0.750 0.229
Se 0.072 0.750 0.110
Se 0.088 0.250 0.602
Se 0.249 0.250 0.339

Computed properties:
- DFT total energy: -5.036 eV per atom
- Calculated density: 6.039 g/cm³

---

20.
LiTmCoSe3 after structural relaxation, computed with GGA-PBE.

a = 3.848 Å, b = 12.914 Å, c = 10.509 Å
α = 90.00°, β = 90.00°, γ = 90.00°
Space group Cmcm (No. 63)
Asymmetric unit:
Li 0.000 0.218 0.250
Tm 0.000 0.000 0.000
Co 0.000 0.481 0.750
Se 0.000 0.092 0.750
Se 0.000 0.357 0.581

Computed properties:
- DFT total energy: -5.037 eV per atom
- Calculated density: 6.000 g/cm³